Density functional theory data (PBE-GGA) for a geometry-optimized BaTiSi2S8 structure.

Cell lengths 6.0523, 6.0523, 8.5606 Å; angles 90.00, 90.00, 120.00 degrees
Atoms (fractional coordinates):
Ti  0.0000  0.0000  0.5000
S  0.0076  0.6770  0.3349
S  0.3230  0.3306  0.3349
S  0.3306  0.0076  0.6651
S  0.6667  0.3333  0.0230
S  0.6694  0.9924  0.3349
S  0.3333  0.6667  0.9770
S  0.6770  0.6694  0.6651
S  0.9924  0.3230  0.6651
Ba  0.0000  0.0000  0.0000
Si  0.3333  0.6667  0.7291
Si  0.6667  0.3333  0.2709

SG   P-3, No. 147
Spin magnetization   1.7 μB per formula unit
VASP energy   -63.40 eV per cell
Uncorrected formation energy   -810 meV per atom